VASP calculation (PBE) on Ca3AcZn after structural relaxation.

```
Ca3AcZn
1.0
6.180 -4.860 0.000
6.180 4.860 0.000
-4.758 0.000 6.471
Ca Ac Zn
6 2 2
Cartesian
-0.985 0.000 1.920 Ca
2.277 2.023 1.560 Ca
2.277 -2.023 1.560 Ca
5.326 2.023 4.911 Ca
5.326 -2.023 4.911 Ca
8.587 0.000 4.552 Ca
1.844 0.000 4.715 Ac
5.759 0.000 1.757 Ac
-1.094 0.000 5.947 Zn
8.697 0.000 0.525 Zn
```

Summary:
Formation energy (meV/atom): 3
Calculated density (Mg/m³): 3.53
Relative energy among the computed polymorphs (eV/f.u.): 0.39
DOS(E_F) (states/eV/atom): 1.05
Magnetic moment (μB/f.u.): 0.0


VASP calculation (PBE) on Ca2AcZn after structural relaxation.

```
Ca2AcZn
1.0
4.935 0.000 0.000
0.000 4.935 0.000
0.000 0.000 5.622
Ca Ac Zn
2 1 1
Cartesian
0.000 2.468 0.000 Ca
2.468 0.000 0.000 Ca
0.000 0.000 2.811 Ac
2.468 2.468 2.811 Zn
```

Summary:
Formation energy (meV/atom): 32
Calculated density (Mg/m³): 4.52
Relative energy among the computed polymorphs (eV/f.u.): 0.64
DOS(E_F) (states/eV/atom): 1.26
Magnetic moment (μB/f.u.): 0.0


VASP calculation (PBE) on Ca3AcZn4 after structural relaxation.

```
Ca3AcZn4
1.0
10.712 0.000 0.000
0.000 7.347 0.000
0.000 0.000 5.355
Ca Ac Zn
6 2 8
Cartesian
0.000 0.000 0.000 Ca
2.678 0.000 2.671 Ca
2.678 3.674 2.675 Ca
5.356 0.000 0.000 Ca
8.034 0.000 2.684 Ca
8.034 3.674 2.681 Ca
0.000 3.674 0.000 Ac
5.356 3.674 0.000 Ac
0.000 1.755 2.678 Zn
0.000 5.592 2.678 Zn
2.678 1.756 5.348 Zn
2.678 5.591 5.348 Zn
5.356 1.755 2.678 Zn
5.356 5.592 2.678 Zn
8.034 1.756 0.008 Zn
8.034 5.591 0.008 Zn
```

Summary:
Formation energy (meV/atom): -243
Calculated density (Mg/m³): 4.80
DOS(E_F) (states/eV/atom): 0.81
Magnetic moment (μB/f.u.): 0.0


VASP calculation (PBE) on Ca3Ac2Zn2 after structural relaxation.

```
Ca3Ac2Zn2
1.0
5.500 -2.661 0.000
5.500 2.661 0.000
-3.257 0.000 8.104
Ca Ac Zn
3 2 2
Cartesian
0.000 0.000 0.000 Ca
0.096 0.000 3.610 Ca
7.648 0.000 4.494 Ca
3.444 0.000 1.737 Ac
4.299 0.000 6.368 Ac
0.999 0.000 6.584 Zn
6.745 0.000 1.520 Zn
```

Summary:
Formation energy (meV/atom): -85
Calculated density (Mg/m³): 4.93
Relative energy among the computed polymorphs (eV/f.u.): 0.19
DOS(E_F) (states/eV/atom): 1.10
Magnetic moment (μB/f.u.): 0.0


VASP calculation (PBE) on CaAc3Zn8 after structural relaxation.

```
CaAc3Zn8
1.0
5.899 0.000 0.000
-2.950 5.109 0.000
0.000 0.000 9.050
Ca Ac Zn
1 3 8
Cartesian
0.000 0.000 0.000 Ca
0.000 0.000 3.512 Ac
2.950 1.703 4.485 Ac
2.950 1.703 8.100 Ac
-1.384 2.607 1.738 Zn
0.000 1.741 6.329 Zn
-1.442 4.239 6.329 Zn
0.000 3.406 4.071 Zn
0.000 3.406 8.519 Zn
1.384 2.607 1.738 Zn
0.000 5.004 1.738 Zn
1.442 4.239 6.329 Zn
```

Summary:
Formation energy (meV/atom): -222
Calculated density (Mg/m³): 7.58
DOS(E_F) (states/eV/atom): 0.59
Magnetic moment (μB/f.u.): 0.0


VASP calculation (PBE) on CaAc2Zn6 after structural relaxation.

```
CaAc2Zn6
1.0
8.070 0.000 0.000
-4.035 6.989 0.000
0.000 0.000 3.880
Ca Ac Zn
1 2 6
Cartesian
0.000 0.000 0.000 Ca
0.000 4.659 0.000 Ac
4.035 2.330 0.000 Ac
-1.306 2.262 1.940 Zn
-2.729 4.727 1.940 Zn
2.612 0.000 1.940 Zn
1.306 2.262 1.940 Zn
5.458 0.000 1.940 Zn
2.729 4.727 1.940 Zn
```

Summary:
Formation energy (meV/atom): -290
Calculated density (Mg/m³): 6.73
DOS(E_F) (states/eV/atom): 0.68
Magnetic moment (μB/f.u.): 0.0


VASP calculation (PBE) on CaAcZn17 after structural relaxation.

```
CaAcZn17
1.0
4.587 2.648 4.459
-4.587 2.648 4.459
0.000 -5.297 4.459
Ca Ac Zn
1 1 17
Cartesian
0.000 0.000 0.000 Ca
0.000 0.000 4.344 Ac
0.000 -2.631 2.341 Zn
-2.278 1.315 2.341 Zn
-2.279 -1.316 6.627 Zn
0.000 -2.729 6.449 Zn
-2.363 1.364 6.449 Zn
-1.355 -2.301 8.864 Zn
-2.671 -0.023 8.864 Zn
2.278 1.315 2.341 Zn
0.000 0.000 7.589 Zn
2.279 -1.316 6.627 Zn
0.000 2.632 6.627 Zn
1.355 -2.301 8.864 Zn
-1.315 2.324 8.864 Zn
0.000 0.000 10.228 Zn
2.363 1.364 6.449 Zn
2.671 -0.023 8.864 Zn
1.315 2.324 8.864 Zn
```

Summary:
Formation energy (meV/atom): -197
Calculated density (Mg/m³): 7.05
DOS(E_F) (states/eV/atom): 0.33
Magnetic moment (μB/f.u.): 0.0


VASP calculation (PBE) on CaAc2Zn9 after structural relaxation.

```
CaAc2Zn9
1.0
2.856 1.649 8.926
-2.856 1.649 8.926
0.000 -3.297 8.926
Ca Ac Zn
1 2 9
Cartesian
0.000 0.000 0.000 Ca
0.000 0.000 3.747 Ac
0.000 0.000 23.030 Ac
-1.437 -0.829 11.014 Zn
0.000 0.000 8.956 Zn
0.000 -1.659 15.763 Zn
-1.436 0.829 15.763 Zn
0.000 0.000 13.389 Zn
1.437 -0.829 11.014 Zn
0.000 1.659 11.014 Zn
0.000 0.000 17.821 Zn
1.437 0.829 15.763 Zn
```

Summary:
Formation energy (meV/atom): -197
Calculated density (Mg/m³): 7.13
DOS(E_F) (states/eV/atom): 0.67
Magnetic moment (μB/f.u.): 0.0